## one
A plane-wave DFT calculation with GGA-PBE was carried out for an optimized crystal structure of AlIn2Hg.

- V (Å³/atom) = 24.220
- density of states at the Fermi level (states/eV/cell) = 1.66
- total magnetic moment (μB per cell) = 0.00

```
AlIn2Hg
1.0
5.459 -0.090 0.000
1.430 5.269 0.000
-3.445 -2.590 3.353
Al Hg In
1 1 2
Direct
0.250 0.750 0.500 Al
0.750 0.250 0.500 Hg
0.000 0.000 0.000 In
0.500 0.500 0.000 In
```

=====

## two
A plane-wave DFT calculation with GGA-PBE was carried out for an optimized crystal structure of AlIn2Hg.

- V (Å³/atom) = 25.102
- density of states at the Fermi level (states/eV/cell) = 1.47
- total magnetic moment (μB per cell) = 0.00

```
AlIn2Hg
1.0
7.035 0.846 0.045
4.042 5.820 -0.045
-4.979 -4.262 2.693
Al Hg In
1 1 2
Direct
0.750 0.250 0.500 Al
0.250 0.750 0.500 Hg
0.947 0.947 0.000 In
0.553 0.553 0.000 In
```

=====

Which is the most stable structure? two is the most stable.

=====

## one
A plane-wave DFT calculation with GGA-PBE was carried out for an optimized crystal structure of AlIn2Hg.

- V (Å³/atom) = 24.160
- density of states at the Fermi level (states/eV/cell) = 1.28
- total magnetic moment (μB per cell) = 0.00

```
AlIn2Hg
1.0
7.434 -0.071 -0.196
-3.059 4.584 0.050
1.316 1.012 2.813
Al Hg In
1 1 2
Direct
0.000 0.500 0.500 Al
0.500 0.500 0.000 Hg
0.000 0.000 0.000 In
0.500 0.000 0.500 In
```

=====

## two
A plane-wave DFT calculation with GGA-PBE was carried out for an optimized crystal structure of AlIn2Hg.

- V (Å³/atom) = 24.310
- density of states at the Fermi level (states/eV/cell) = 1.20
- total magnetic moment (μB per cell) = 0.00

```
AlIn2Hg
1.0
3.207 0.405 0.000
-0.715 3.152 0.000
0.000 0.000 9.353
Al Hg In
1 1 2
Direct
0.500 0.500 0.250 Al
0.500 0.500 0.750 Hg
0.000 0.000 0.018 In
0.000 0.000 0.482 In
```

=====

Which is the most stable structure? two is the most stable.

=====

## one
A plane-wave DFT calculation with GGA-PBE was carried out for an optimized crystal structure of AlIn2Hg.

- V (Å³/atom) = 23.979
- density of states at the Fermi level (states/eV/cell) = 1.50
- total magnetic moment (μB per cell) = 0.00

```
AlIn2Hg
1.0
-9.964 -0.619 -2.035
-8.957 -3.493 -3.373
-9.632 -3.320 -0.120
Al Hg In
1 1 2
Direct
0.497 0.497 0.497 Al
0.756 0.756 0.756 Hg
0.003 0.003 0.003 In
0.244 0.244 0.244 In
```

=====

## two
A plane-wave DFT calculation with GGA-PBE was carried out for an optimized crystal structure of AlIn2Hg.

- V (Å³/atom) = 24.603
- density of states at the Fermi level (states/eV/cell) = 1.25
- total magnetic moment (μB per cell) = 0.00

```
AlIn2Hg
1.0
5.546 0.000 0.000
0.000 3.156 0.087
0.000 1.261 5.658
Al Hg In
1 1 2
Direct
0.000 0.730 0.406 Al
0.500 0.527 0.845 Hg
0.000 0.006 0.883 In
0.500 0.237 0.366 In
```

=====

## three
A plane-wave DFT calculation with GGA-PBE was carried out for an optimized crystal structure of AlIn2Hg.

- V (Å³/atom) = 24.094
- density of states at the Fermi level (states/eV/cell) = 1.97
- total magnetic moment (μB per cell) = 0.00

```
AlIn2Hg
1.0
-1.118 -1.144 -3.096
-1.712 -2.594 1.577
-6.427 4.616 0.616
Al Hg In
1 1 2
Direct
0.000 0.000 0.512 Al
0.500 0.500 0.719 Hg
0.000 0.000 0.991 In
0.500 0.500 0.279 In
```

=====

## four
A plane-wave DFT calculation with GGA-PBE was carried out for an optimized crystal structure of AlIn2Hg.

- V (Å³/atom) = 24.124
- density of states at the Fermi level (states/eV/cell) = 1.73
- total magnetic moment (μB per cell) = 0.00

```
AlIn2Hg
1.0
-0.811 0.823 3.217
0.654 -3.208 0.985
7.864 2.052 1.459
Al Hg In
1 1 2
Direct
0.500 0.500 0.250 Al
0.500 0.500 0.750 Hg
0.000 0.000 0.023 In
0.000 0.000 0.477 In
```

=====

Which is the most stable structure? one is the most stable.